Compound: K2ScCoO4
Source: Alexandria
Functional: PBE with a Hubbard U
Structure: optimized geometry

Properties
The value obtained for the uncorrected energy is -5.919 eV per atom. The spin magnetization is 8.05 Bohr magnetons per cell.

a b c (Å): 5.381 6.673 10.513
angles (deg): 84.08 75.17 66.22
Each line ends with the local moment (μB).
Sites, in units of the cell vectors:
K 0.186 0.000 0.629  0.00
K 0.814 0.000 0.371  0.00
K 0.564 0.500 0.871  0.00
K 0.936 0.500 0.129  0.00
Sc 0.750 0.500 0.500  0.02
Sc 0.000 0.000 0.000  0.02
Co 0.250 0.500 0.500  2.93
Co 0.500 0.000 0.000  2.93
O 0.310 0.818 0.083  0.21
O 0.211 0.182 0.917  0.21
O 0.872 0.818 0.917  0.21
O 0.607 0.182 0.083  0.21
O 0.440 0.682 0.417  0.21
O 0.539 0.318 0.583  0.21
O 0.878 0.682 0.583  0.21
O 0.143 0.318 0.417  0.21